# 1
Below is Ni3PdN after structural relaxation, with properties calculated at the PBE level.

The calculation puts the total energy at -5.9102 eV/atom. The density of states at the Fermi level comes out at 27.377 states/eV/cell. The formation energy from raw total energies comes out at 0.262 eV/atom. The density is 8.6 Mg/m³.

It has space group R-3c (No. 167, hexagonal axes), with a = 6.9182 Å, b = 6.9182 Å, c = 8.2720 Å, α = 90.00°, β = 90.00° and γ = 120.00°. The distinct sites, in fractional coordinates, are Ni at (0.0000, 0.2607, 0.2500), Pd at (0.0000, 0.0000, 0.0000) and N at (0.0000, 0.0000, 0.2500).



# 2
Below is In3Ag3Hg2Te8 after structural relaxation, with properties calculated at the PBE level.

The calculation puts the total energy at -2.9119 eV/atom. The density of states at the Fermi level comes out at 1.728 states/eV/cell. The formation energy from raw total energies comes out at -0.255 eV/atom. The density is 6.1 Mg/m³.

It has space group P-4 (No. 81), with a = 6.584 Å, b = 6.584 Å, c = 13.053 Å, α = 90.00°, β = 90.00° and γ = 90.00°. The distinct sites, in fractional coordinates, are In at (0.000, 0.000, 0.000), In at (0.000, 0.500, 0.248), Ag at (0.000, 0.500, 0.754), Ag at (0.500, 0.500, 0.000), Hg at (0.000, 0.000, 0.500), Hg at (0.500, 0.500, 0.500), Te at (0.247, 0.254, 0.630) and Te at (0.251, 0.745, 0.876).



# 3
Below is Pm4CoSn2 after structural relaxation, with properties calculated at the PBE level.

As for the energy above the lowest structure with this stoichiometry: 0.000 eV/atom. The calculation puts the total energy at -5.3524 eV/atom. The density of states at the Fermi level comes out at 12.763 states/eV/cell. The calculation puts the energy relative to the elements at -46.2 kJ/mol of atoms. The density is 7.4 Mg/m³.

It has space group C2/m (No. 12), with a = 11.606 Å, b = 4.619 Å, c = 8.716 Å, α = 90.00°, β = 122.09° and γ = 90.00°. The distinct sites, in fractional coordinates, are Pm at (0.070, 0.000, 0.346), Pm at (0.168, 0.500, 0.060), Co at (0.000, 0.000, 0.000) and Sn at (0.146, 0.500, 0.659).



# 4
Below is ScPaTe2C after structural relaxation, with properties calculated at the PBE level.

The calculation puts the total energy at -7.1481 eV/atom. The density of states at the Fermi level comes out at 4.767 states/eV/cell. The formation energy from raw total energies comes out at -0.881 eV/atom. The density is 7.3 Mg/m³.

It has space group P4/nmm (No. 129, origin choice 2), with a = 4.085 Å, b = 4.085 Å, c = 14.905 Å, α = 90.00°, β = 90.00° and γ = 90.00°. The distinct sites, in fractional coordinates, are Sc at (0.250, 0.250, 0.117), Pa at (0.250, 0.250, 0.575), Te at (0.250, 0.250, 0.303), Te at (0.250, 0.250, 0.909) and C at (0.250, 0.750, 0.500).



# 5
Below is GeAs2Au after structural relaxation, with properties calculated at the PBE level.

The calculation puts the total energy at -4.2803 eV/atom. The density of states at the Fermi level comes out at 6.904 states/eV/cell. The calculation puts the energy relative to the elements at 1.8 kJ/mol of atoms. The density is 7.0 Mg/m³.

It has space group I-42d (No. 122), with a = 5.911 Å, b = 5.911 Å, c = 11.333 Å, α = 90.00°, β = 90.00° and γ = 90.00°. The distinct sites, in fractional coordinates, are Ge at (0.000, 0.000, 0.000), As at (0.246, 0.250, 0.125) and Au at (0.000, 0.000, 0.500).



# 6
Below is YHo3Zr after structural relaxation, with properties calculated at the PBE level.

The calculation puts the total energy at -5.4813 eV/atom. The density of states at the Fermi level comes out at 23.788 states/eV/cell. The calculation puts the energy relative to the elements at 25.8 kJ/mol of atoms. The density is 7.2 Mg/m³.

It has space group C2/m (No. 12), with a = 20.119 Å, b = 3.370 Å, c = 9.347 Å, α = 90.00°, β = 100.01° and γ = 90.00°. The distinct sites, in fractional coordinates, are Y at (0.139, 0.000, 0.069), Ho at (0.013, 0.000, 0.774), Ho at (0.183, 0.000, 0.420), Ho at (0.187, 0.500, 0.775) and Zr at (0.068, 0.500, 0.516).



# 7
Below is SrZnRe2 after structural relaxation, with properties calculated at the PBE level.

The calculation puts the total energy at -5.9293 eV/atom. The density of states at the Fermi level comes out at 3.659 states/eV/cell. The calculation puts the energy relative to the elements at 99.7 kJ/mol of atoms. The density is 11.6 Mg/m³.

It has space group P4/mmm (No. 123), with a = 3.931 Å, b = 3.931 Å, c = 4.860 Å, α = 90.00°, β = 90.00° and γ = 90.00°. The distinct sites, in fractional coordinates, are Sr at (0.000, 0.000, 0.000), Zn at (0.500, 0.500, 0.000) and Re at (0.000, 0.500, 0.500).



# 8
Below is SrGa2Pd after structural relaxation, with properties calculated at the PBE level.

The calculation puts the total energy at -3.8386 eV/atom. The density of states at the Fermi level comes out at 17.103 states/eV/cell. The calculation puts the energy relative to the elements at -58.5 kJ/mol of atoms. The density is 6.3 Mg/m³.

It has space group Pnma (No. 62), with a = 15.914 Å, b = 7.311 Å, c = 6.013 Å, α = 90.00°, β = 90.00° and γ = 90.00°. The distinct sites, in fractional coordinates, are Sr at (0.104, 0.250, 0.221), Sr at (0.134, 0.750, 0.014), Ga at (0.045, 0.063, 0.706), Ga at (0.212, 0.556, 0.531), Pd at (0.073, 0.750, 0.505) and Pd at (0.190, 0.250, 0.755).



# 9
Below is HoZn3Pt4 after structural relaxation, with properties calculated at the PBE level.

The calculation puts the total energy at -4.7774 eV/atom. The density of states at the Fermi level comes out at 5.449 states/eV/cell. The calculation puts the energy relative to the elements at -68.2 kJ/mol of atoms. The density is 14.6 Mg/m³.

It has space group Pmma (No. 51), with a = 9.231 Å, b = 5.899 Å, c = 4.783 Å, α = 90.00°, β = 90.00° and γ = 90.00°. The distinct sites, in fractional coordinates, are Ho at (0.000, 0.000, 0.000), Zn at (0.000, 0.500, 0.000), Zn at (0.250, 0.000, 0.437), Zn at (0.250, 0.500, 0.392), Pt at (0.000, 0.263, 0.500) and Pt at (0.250, 0.269, 0.892).



# 10
Below is Rb6Br8Cl after structural relaxation, with properties calculated at the PBE level.

The calculation puts the total energy at -2.6835 eV/atom. The density of states at the Fermi level comes out at 27.089 states/eV/cell. The formation energy from raw total energies comes out at -1.281 eV/atom. The density is 3.0 Mg/m³.

It has space group R-3 (No. 148, hexagonal axes), with a = 10.3583 Å, b = 10.3583 Å, c = 20.9375 Å, α = 90.00°, β = 90.00° and γ = 120.00°. The distinct sites, in fractional coordinates, are Rb at (0.0061, 0.2879, 0.0797), Br at (0.0000, 0.0000, 0.2312), Br at (0.0055, 0.3765, 0.9125) and Cl at (0.0000, 0.0000, 0.0000).